! CsGdCuSe3 PBE-GGA optimized geometry; values from VASP
&SYSTEM
  ibrav = 0, nat = 12, ntyp = 4
/
ATOMIC_SPECIES
Gd 157.25 Gd.upf
Se 78.96 Se.upf
Cs 132.91 Cs.upf
Cu 63.55 Cu.upf
ATOMIC_POSITIONS crystal
Gd 0.826 0.750 0.857
Se 0.025 0.250 0.837
Se 0.319 0.250 0.458
Se 0.681 0.750 0.542
Se 0.379 0.750 0.142
Se 0.975 0.750 0.163
Cs 0.714 0.250 0.246
Cu 0.416 0.750 0.394
Gd 0.174 0.250 0.143
Cu 0.584 0.250 0.606
Cs 0.286 0.750 0.754
Se 0.621 0.250 0.858
CELL_PARAMETERS angstrom
-5.609 7.546 -2.561
-2.631 -2.589 -1.864
-2.592 -3.837 8.988
! * calculated volume: 376.9 Å³/cell
! * VASP energy: -0.32873 Ry/atom
! * space group: P2_1/m (11)

***

! ErAlZnNi PBE-GGA optimized geometry; values from VASP
&SYSTEM
  ibrav = 0, nat = 8, ntyp = 4
/
ATOMIC_SPECIES
Al 26.98 Al.upf
Ni 58.69 Ni.upf
Er 167.26 Er.upf
Zn 65.41 Zn.upf
ATOMIC_POSITIONS crystal
Al 0.695 0.653 0.653
Ni 0.000 0.774 0.774
Ni 0.500 0.213 0.213
Er 0.000 0.064 0.064
Al 0.305 0.653 0.653
Zn 0.195 0.354 0.354
Er 0.500 0.936 0.936
Zn 0.805 0.354 0.354
CELL_PARAMETERS angstrom
7.034 0.000 0.000
0.000 2.031 4.770
0.000 -2.031 4.770
! * calculated volume: 136.3 Å³/cell
! * VASP energy: -0.31719 Ry/atom
! * space group: Amm2 (38)